Computed, not measured: crystalline AcTa2VO8 at its relaxed geometry at the PBE with a Hubbard U level of DFT.

Computed properties:
SG = C2/m (12)
E = -8.974 eV/atom
N(E_F) = 0.00 states/eV/atom

```
12
Lattice="4.954 0.243 0.065 0.308 4.950 0.065 0.092 0.093 6.911" Properties=species:S:1:pos:R:3 pbc="T T T"
O 1.227 3.885 1.510
O 3.563 3.513 3.227
O 4.126 1.400 5.531
O 1.693 1.676 6.916
O 3.660 3.610 0.124
O 1.791 1.773 3.813
O 1.456 4.112 5.531
O 3.897 1.173 1.510
Ta 2.492 2.461 5.423
Ta 2.862 2.824 1.618
V 0.000 0.000 0.000
Ac 0.046 0.046 3.455
```